Here is Y4TlIr after structural relaxation from Alexandria via LeMat-Bulk. Energies are from PBE.

The space group is P2_1/c (No. 14) and the conventional cell measures 7.4787, 7.0811 and 6.9542 Å, with angles of 90.00, 92.08 and 90.00 degrees. Symmetry generates all atoms from Y at (0.1392, 0.1602, 0.1747), Y at (0.3148, 0.6424, 0.1233), Tl at (0.5000, 0.0000, 0.0000) and Ir at (0.0000, 0.0000, 0.5000).

Its formation energy is -2.2 eV/f.u. The density of states at the Fermi level comes out at 6.4 states/eV/f.u. The value obtained for the uncorrected energy is -6.541 eV/atom. As for the offset from the most stable computed form: 0.177 eV/atom. The total magnetization is 0.000 μB/cell.

Here is YTl2Ir after structural relaxation from Alexandria via LeMat-Bulk. Energies are from PBE.

The space group is P2/m (No. 10) and the conventional cell measures 3.4886, 4.9577 and 5.4315 Å, with angles of 90.00, 97.28 and 90.00 degrees. Symmetry generates all atoms from Y at (0.0000, 0.0000, 0.0000), Tl at (0.3323, 0.5000, 0.7329) and Ir at (0.5000, 0.0000, 0.5000).

Its formation energy is -0.1 eV/f.u. The density of states at the Fermi level comes out at 1.8 states/eV/f.u. The value obtained for the uncorrected energy is -5.037 eV/atom. The total magnetization is 0.000 μB/cell.

Here is YTl2Ir after structural relaxation from Alexandria via LeMat-Bulk. Energies are from PBE.

The space group is C2/m (No. 12) and the conventional cell measures 5.9472, 11.3125 and 4.1080 Å, with angles of 90.00, 133.51 and 90.00 degrees. Symmetry generates all atoms from Y at (0.0000, 0.0000, 0.0000), Tl at (0.2500, 0.2500, 0.0000) and Ir at (0.0000, 0.5000, 0.0000).

Its formation energy is 0.4 eV/f.u. The density of states at the Fermi level comes out at 2.2 states/eV/f.u. The value obtained for the uncorrected energy is -4.925 eV/atom. The total magnetization is 0.000 μB/cell.

Here is Y4TlIr2 after structural relaxation from Alexandria via LeMat-Bulk. Energies are from PBE.

The space group is I-42d (No. 122) and the conventional cell measures 8.9366, 8.9366 and 8.7525 Å, with angles of 90.00, 90.00 and 90.00 degrees. Symmetry generates all atoms from Y at (0.0719, 0.1728, 0.3257), Tl at (0.0000, 0.0000, 0.0000) and Ir at (0.1358, 0.2500, 0.6250).

Its formation energy is -3.7 eV/f.u. The density of states at the Fermi level comes out at 5.4 states/eV/f.u. The value obtained for the uncorrected energy is -7.087 eV/atom. The total magnetization is 0.000 μB/cell.

Here is Y2Tl2Ir after structural relaxation from Alexandria via LeMat-Bulk. Energies are from PBE.

The space group is P4/mbm (No. 127) and the conventional cell measures 7.4479, 7.4479 and 4.4141 Å, with angles of 90.00, 90.00 and 90.00 degrees. Symmetry generates all atoms from Y at (0.1710, 0.3290, 0.0000), Tl at (0.1393, 0.6393, 0.5000) and Ir at (0.0000, 0.0000, 0.5000).

Its formation energy is -0.9 eV/f.u. The density of states at the Fermi level comes out at 2.9 states/eV/f.u. The value obtained for the uncorrected energy is -5.489 eV/atom. As for the offset from the most stable computed form: 0.239 eV/atom. The total magnetization is 0.000 μB/cell.

Here is Y4TlIr after structural relaxation from Alexandria via LeMat-Bulk. Energies are from PBE.

The space group is F-43m (No. 216) and the conventional cell measures 8.5607, 8.5607 and 8.5607 Å, with angles of 90.00, 90.00 and 90.00 degrees. Symmetry generates all atoms from Y at (0.1238, 0.1238, 0.1238), Tl at (0.0000, 0.0000, 0.5000) and Ir at (0.2500, 0.2500, 0.7500).

Its formation energy is 3.1 eV/f.u. The density of states at the Fermi level comes out at 6.7 states/eV/f.u. The value obtained for the uncorrected energy is -5.666 eV/atom. As for the offset from the most stable computed form: 1.051 eV/atom. The total magnetization is 0.000 μB/cell.

Here is YTl2Ir after structural relaxation from Alexandria via LeMat-Bulk. Energies are from PBE.

The space group is P4/mmm (No. 123) and the conventional cell measures 4.3135, 4.3135 and 4.9062 Å, with angles of 90.00, 90.00 and 90.00 degrees. Symmetry generates all atoms from Y at (0.0000, 0.0000, 0.0000), Tl at (0.0000, 0.5000, 0.5000) and Ir at (0.5000, 0.5000, 0.0000).

Its formation energy is -0.3 eV/f.u. The density of states at the Fermi level comes out at 2.5 states/eV/f.u. The value obtained for the uncorrected energy is -5.080 eV/atom. The total magnetization is 0.000 μB/cell.

Here is Y5Tl4Ir after structural relaxation from Alexandria via LeMat-Bulk. Energies are from PBE.

The space group is P4/mmm (No. 123) and the conventional cell measures 3.5434, 3.5434 and 20.6862 Å, with angles of 90.00, 90.00 and 90.00 degrees. Symmetry generates all atoms from Y at (0.0000, 0.0000, 0.0000), Y at (0.0000, 0.0000, 0.2087), Y at (0.0000, 0.0000, 0.4205), Tl at (0.5000, 0.5000, 0.1041), Tl at (0.5000, 0.5000, 0.3114) and Ir at (0.5000, 0.5000, 0.5000).

Its formation energy is -4.7 eV/f.u. The density of states at the Fermi level comes out at 7.8 states/eV/f.u. The value obtained for the uncorrected energy is -5.536 eV/atom. The total magnetization is 0.495 μB/cell.

Here is Y2Tl2Ir after structural relaxation from Alexandria via LeMat-Bulk. Energies are from PBE.

The space group is I4/mmm (No. 139) and the conventional cell measures 3.5416, 3.5416 and 20.0462 Å, with angles of 90.00, 90.00 and 90.00 degrees. Symmetry generates all atoms from Y at (0.0000, 0.0000, 0.0811), Tl at (0.0000, 0.0000, 0.3020) and Ir at (0.0000, 0.0000, 0.5000).

Its formation energy is -2.1 eV/f.u. The density of states at the Fermi level comes out at 2.8 states/eV/f.u. The value obtained for the uncorrected energy is -5.728 eV/atom. As for the offset from the most stable computed form: 0.000 eV/atom. The total magnetization is 0.000 μB/cell.

Here is Y4Tl5Ir2 after structural relaxation from Alexandria via LeMat-Bulk. Energies are from PBE.

The space group is P2/m (No. 10) and the conventional cell measures 7.9326, 3.6688 and 9.7643 Å, with angles of 90.00, 94.34 and 90.00 degrees. Symmetry generates all atoms from Y at (0.1886, 0.0000, 0.3401), Y at (0.2075, 0.0000, 0.9356), Tl at (0.1541, 0.5000, 0.6378), Tl at (0.4592, 0.5000, 0.1658), Tl at (0.5000, 0.5000, 0.5000) and Ir at (0.0780, 0.5000, 0.1366).

Its formation energy is -5.1 eV/f.u. The density of states at the Fermi level comes out at 8.8 states/eV/f.u. The value obtained for the uncorrected energy is -5.497 eV/atom. The total magnetization is 0.000 μB/cell.

Here is YTl2Ir after structural relaxation from Alexandria via LeMat-Bulk. Energies are from PBE.

The space group is P4mm (No. 99) and the conventional cell measures 3.5367, 3.5367 and 7.8167 Å, with angles of 90.00, 90.00 and 90.00 degrees. Symmetry generates all atoms from Y at (0.0000, 0.0000, 0.0000), Tl at (0.0000, 0.0000, 0.4102), Tl at (0.5000, 0.5000, 0.6954) and Ir at (0.5000, 0.5000, 0.1829).

Its formation energy is -0.5 eV/f.u. The density of states at the Fermi level comes out at 3.6 states/eV/f.u. The value obtained for the uncorrected energy is -5.143 eV/atom. The total magnetization is 0.000 μB/cell.

Here is Y6Tl2Ir after structural relaxation from Alexandria via LeMat-Bulk. Energies are from PBE.

The space group is Amm2 (No. 38) and the conventional cell measures 3.9087, 14.8841 and 8.6929 Å, with angles of 90.00, 90.00 and 90.00 degrees. Symmetry generates all atoms from Y at (0.0000, 0.0000, 0.0000), Y at (0.0000, 0.1180, 0.6326), Y at (0.5000, 0.0000, 0.3560), Y at (0.5000, 0.1955, 0.9479), Tl at (0.0000, 0.1681, 0.2530) and Ir at (0.5000, 0.0000, 0.7656).

Its formation energy is -4.0 eV/f.u. The density of states at the Fermi level comes out at 10.9 states/eV/f.u. The value obtained for the uncorrected energy is -6.262 eV/atom. As for the offset from the most stable computed form: 0.000 eV/atom. The total magnetization is 0.002 μB/cell.